# 1
{
  "formula": "ScTiAl2",
  "functional": "PBE",
  "state": "optimized geometry",
  "lattice": [[7.419, 0.000, 0.000], [0.000, 7.419, 0.000], [3.709, 3.709, 2.821]],
  "species": ["Al", "Sc", "Al", "Ti", "Sc", "Ti", "Al", "Al"],
  "frac_coords": [[0.638, 0.125, 0.250], [0.500, 0.500, 0.000], [0.375, 0.362, 0.750], [0.750, 0.250, 0.500], [0.250, 0.750, 0.500], [0.000, 0.000, 0.000], [0.875, 0.888, 0.750], [0.112, 0.625, 0.250]],
  "vol_a3_per_cell": 155.3,
  "e_form_ev_per_atom": 0.0909,
  "de_polymorph_mev_per_atom": 491,
  "dft_energy_ev_per_atom": -5.337
}


# 2
{
  "formula": "Rb3CuN",
  "functional": "PBE",
  "state": "optimized geometry",
  "lattice": [[-3.528, 3.780, 2.518], [-1.742, -4.071, 3.670], [4.195, 1.488, 3.642]],
  "species": ["Cu", "Rb", "Rb", "Rb", "N"],
  "frac_coords": [[0.500, 0.500, 0.500], [0.000, 0.500, 0.000], [0.000, 0.000, 0.500], [0.500, 0.000, 0.000], [0.000, 0.000, 0.000]],
  "formation_energy_uncorrected_mev_per_atom": 609,
  "vol_a3_per_cell": 190.2,
  "de_polymorph_mev_per_atom": 0,
  "dft_energy_ev_per_atom": -2.456
}


# 3
{
  "formula": "Sr2HoTe3",
  "functional": "PBE",
  "state": "optimized geometry",
  "lattice": [[7.808, -0.026, -1.307], [-4.209, 6.577, -1.307], [-0.003, -0.006, 7.990]],
  "species": ["Sr", "Sr", "Te", "Te", "Sr", "Te", "Te", "Ho", "Ho", "Sr", "Te", "Te"],
  "frac_coords": [[0.495, 0.505, 0.500], [0.833, 0.167, 0.500], [0.412, 0.092, 0.236], [0.603, 0.936, 0.769], [0.171, 0.829, 0.500], [0.759, 0.746, 0.236], [0.254, 0.241, 0.764], [0.001, 0.999, 0.000], [0.666, 0.334, 0.000], [0.333, 0.667, 0.000], [0.064, 0.397, 0.231], [0.908, 0.588, 0.764]],
  "formation_energy_uncorrected_mev_per_atom": -1550,
  "vol_a3_per_cell": 409.3,
  "dft_energy_ev_per_atom": -4.444
}


# 4
{
  "formula": "ZnTcRu",
  "functional": "PBE",
  "state": "optimized geometry",
  "lattice": [[5.493, -0.004, 0.000], [3.986, 3.780, 0.000], [-4.740, -1.888, 2.037]],
  "species": ["Ru", "Zn", "Tc"],
  "frac_coords": [[0.997, 0.997, 0.000], [0.665, 0.665, 0.000], [0.339, 0.339, 0.000]],
  "vol_a3_per_cell": 42.3,
  "e_form_ev_per_atom": -0.0423,
  "de_polymorph_mev_per_atom": 0,
  "dft_energy_ev_per_atom": -7.014
}